Entry 1:
A geometry-optimized Np3U3TaN8 structure, computed with PBE-GGA.

a b c (Å): 6.725 6.725 6.725
angles (deg): 60.19 60.19 60.19
Atoms (fractional coordinates):
Np  0.000  0.500  0.500
Np  0.500  0.000  0.500
Np  0.500  0.500  0.000
U  0.000  0.000  0.500
U  0.000  0.500  0.000
U  0.500  0.000  0.000
Ta  0.500  0.500  0.500
N  0.248  0.248  0.248
N  0.265  0.731  0.731
N  0.269  0.269  0.735
N  0.269  0.735  0.269
N  0.731  0.265  0.731
N  0.731  0.731  0.265
N  0.735  0.269  0.269
N  0.752  0.752  0.752

Values from the calculation:
The value obtained for the formation energy without anion corrections is -1.170 eV/atom. The crystal system is trigonal. Its space group is No. 166.

Entry 2:
A geometry-optimized SnGeAu2 structure, computed with PBE-GGA.

a b c (Å): 4.892 4.892 4.892
angles (deg): 60.00 60.00 60.00
Atoms (fractional coordinates):
Sn  0.000  0.000  0.000
Ge  0.500  0.500  0.500
Au  0.250  0.250  0.250
Au  0.750  0.750  0.750

Values from the calculation:
The crystal system is cubic. Its space group is No. 225. The calculated formation energy comes out at 0.06 eV/atom.

Entry 3:
A geometry-optimized PmDy6Co2 structure, computed with PBE-GGA.

a b c (Å): 8.528 8.528 8.528
angles (deg): 113.18 108.53 106.77
Atoms (fractional coordinates):
Pm  0.000  0.000  0.000
Pm  0.500  0.000  0.500
Dy  0.006  0.228  0.778
Dy  0.193  0.489  0.296
Dy  0.193  0.897  0.704
Dy  0.306  0.302  0.608
Dy  0.306  0.698  0.004
Dy  0.449  0.228  0.222
Dy  0.551  0.772  0.778
Dy  0.694  0.302  0.996
Dy  0.694  0.698  0.392
Dy  0.807  0.103  0.296
Dy  0.807  0.511  0.704
Dy  0.994  0.772  0.222
Co  0.110  0.500  0.610
Co  0.385  0.385  0.000
Co  0.615  0.615  0.000
Co  0.890  0.500  0.390

Values from the calculation:
The crystal system is orthorhombic. Its space group is No. 71. The calculated formation energy comes out at -0.05 eV/atom.

Entry 4:
A geometry-optimized Fe3Ir4Pt structure, computed with PBE-GGA.

a b c (Å): 8.716 5.473 4.616
angles (deg): 90.00 90.00 90.00
Atoms (fractional coordinates):
Fe  0.000  0.000  0.000
Fe  0.250  0.000  0.328
Fe  0.250  0.500  0.342
Fe  0.500  0.000  0.000
Fe  0.750  0.000  0.672
Fe  0.750  0.500  0.658
Ir  0.000  0.243  0.500
Ir  0.000  0.757  0.500
Ir  0.250  0.244  0.837
Ir  0.250  0.756  0.837
Ir  0.500  0.243  0.500
Ir  0.500  0.757  0.500
Ir  0.750  0.244  0.163
Ir  0.750  0.756  0.163
Pt  0.000  0.500  0.000
Pt  0.500  0.500  0.000

Values from the calculation:
The crystal system is orthorhombic. Its space group is No. 51. The calculated formation energy comes out at -0.02 eV/atom.

Entry 5:
A geometry-optimized Ho3Er2Th structure, computed with PBE-GGA.

a b c (Å): 8.913 8.913 9.834
angles (deg): 123.09 123.09 36.08
Atoms (fractional coordinates):
Ho  0.022  0.022  0.173
Ho  0.200  0.200  0.991
Ho  0.272  0.272  0.418
Ho  0.728  0.728  0.582
Ho  0.800  0.800  0.009
Ho  0.978  0.978  0.827
Er  0.114  0.114  0.569
Er  0.366  0.366  0.868
Er  0.634  0.634  0.132
Er  0.886  0.886  0.431
Th  0.451  0.451  0.298
Th  0.549  0.549  0.702

Values from the calculation:
The crystal system is monoclinic. Its space group is No. 12. The calculated formation energy comes out at 0.11 eV/atom.

Entry 6:
A geometry-optimized NdSi2Au structure, computed with PBE-GGA.

a b c (Å): 13.814 4.294 10.771
angles (deg): 90.00 90.00 90.00
Atoms (fractional coordinates):
Nd  0.048  0.250  0.248
Nd  0.194  0.750  0.974
Nd  0.306  0.250  0.474
Nd  0.452  0.750  0.748
Nd  0.548  0.250  0.252
Nd  0.694  0.750  0.526
Nd  0.806  0.250  0.026
Nd  0.952  0.750  0.752
Si  0.025  0.250  0.960
Si  0.114  0.250  0.777
Si  0.133  0.750  0.469
Si  0.210  0.750  0.276
Si  0.290  0.250  0.776
Si  0.367  0.250  0.969
Si  0.386  0.750  0.277
Si  0.475  0.750  0.460
Si  0.525  0.250  0.540
Si  0.614  0.250  0.723
Si  0.633  0.750  0.031
Si  0.710  0.750  0.224
Si  0.790  0.250  0.724
Si  0.867  0.250  0.531
Si  0.886  0.750  0.223
Si  0.975  0.750  0.040
Au  0.060  0.250  0.555
Au  0.226  0.750  0.675
Au  0.274  0.250  0.175
Au  0.440  0.750  0.055
Au  0.560  0.250  0.945
Au  0.726  0.750  0.825
Au  0.774  0.250  0.325
Au  0.940  0.750  0.445

Values from the calculation:
The value obtained for the formation energy without anion corrections is -0.612 eV/atom. The crystal system is orthorhombic. Its space group is No. 62.

| no. | total magnetic moment (μB/f.u.) |
| --- | --- |
| 1 | 11.659 |
| 2 | 0.000 |
| 3 | 0.001 |
| 4 | 8.082 |
| 5 | 0.000 |
| 6 | 0.000 |